[1]
YCdFe2F | Alexandria via LeMat-Bulk | GGA+U | relaxed; space-group type = No. 123; E = -18.75 eV/f.u.
1.0
5.2443 0.0000 0.0000
0.0000 5.2443 0.0000
0.0000 0.0000 4.3957
Y Cd Fe F
1 1 2 1
direct
0.0000 0.0000 0.0000
0.5000 0.5000 0.5000
0.0000 0.5000 0.5000
0.5000 0.0000 0.5000
0.5000 0.5000 0.0000

=====

[2]
ZnCdFeF6 | Alexandria via LeMat-Bulk | GGA+U | relaxed; space-group type = No. 163; E = -38.79 eV/f.u.
1.0
5.4163 0.0000 0.0000
-2.7082 4.6907 0.0000
0.0000 0.0000 9.6443
Zn Cd Fe F
2 2 2 12
direct
0.3333 0.6667 0.2500
0.6667 0.3333 0.7500
0.0000 0.0000 0.0000
0.0000 0.0000 0.5000
0.3333 0.6667 0.7500
0.6667 0.3333 0.2500
0.0020 0.3508 0.1356
0.0020 0.6512 0.3644
0.3488 0.3508 0.3644
0.3488 0.9980 0.1356
0.3508 0.0020 0.6356
0.3508 0.3488 0.8644
0.6492 0.6512 0.1356
0.6492 0.9980 0.3644
0.6512 0.0020 0.8644
0.6512 0.6492 0.6356
0.9980 0.3488 0.6356
0.9980 0.6492 0.8644

=====

[3]
ZrCdFe2F | Alexandria via LeMat-Bulk | GGA+U | relaxed; space-group type = No. 123; E = -19.50 eV/f.u.
1.0
5.0876 0.0000 0.0000
0.0000 5.0876 0.0000
0.0000 0.0000 4.2096
Zr Cd Fe F
1 1 2 1
direct
0.0000 0.0000 0.0000
0.5000 0.5000 0.5000
0.0000 0.5000 0.5000
0.5000 0.0000 0.5000
0.5000 0.5000 0.0000